Entry 1:
LaCdAu: optimized geometry, PBE-GGA.

Unit cell a=4.064 b=8.029 c=14.282 alpha=90.00 beta=90.00 gamma=90.00
Fractional positions:
Au (0.500, 0.941, 0.904)
Cd (0.500, 0.808, 0.250)
Au (0.500, 0.059, 0.404)
Cd (0.500, 0.568, 0.885)
Au (0.500, 0.941, 0.596)
Cd (0.500, 0.432, 0.385)
Cd (0.500, 0.568, 0.615)
Au (0.000, 0.554, 0.250)
La (0.000, 0.240, 0.952)
Au (0.000, 0.446, 0.750)
Cd (0.500, 0.432, 0.115)
Cd (0.500, 0.192, 0.750)
Au (0.500, 0.059, 0.096)
La (0.000, 0.760, 0.048)
La (0.000, 0.157, 0.250)
La (0.000, 0.843, 0.750)
La (0.000, 0.240, 0.548)
La (0.000, 0.760, 0.452)

- Energy relative to the elements: -647 meV/atom
- Density: 9.585 g/cm3


Entry 2:
La2CdAu: optimized geometry, PBE-GGA.

Unit cell a=3.980 b=3.980 c=7.334 alpha=90.00 beta=90.00 gamma=90.02
Fractional positions:
Au (0.000, 0.000, 0.501)
La (0.000, 0.000, 0.966)
La (0.500, 0.500, 0.298)
Cd (0.500, 0.500, 0.734)

- Energy relative to the elements: -378 meV/atom
- Density: 8.394 g/cm3


Entry 3:
La2CdAu: optimized geometry, PBE-GGA.

Unit cell a=8.575 b=8.575 c=6.966 alpha=52.01 beta=52.01 gamma=90.00
Fractional positions:
Cd (0.250, 0.750, 0.500)
La (0.087, 0.625, 0.250)
Au (0.750, 0.250, 0.500)
Cd (0.500, 0.500, 0.000)
La (0.663, 0.125, 0.250)
Au (0.000, 0.000, 0.000)
La (0.875, 0.913, 0.750)
La (0.375, 0.337, 0.750)

- Energy relative to the elements: -260 meV/atom
- Density: 7.734 g/cm3


Entry 4:
La3CdAu: optimized geometry, PBE-GGA.

Unit cell a=5.811 b=5.811 c=5.811 alpha=90.00 beta=90.00 gamma=90.00
Fractional positions:
La (0.000, 0.000, 0.500)
La (0.000, 0.500, 0.000)
Cd (0.500, 0.500, 0.500)
Au (0.000, 0.000, 0.000)
La (0.500, 0.000, 0.000)

- Energy relative to the elements: -62 meV/atom
- Density: 6.143 g/cm3